1.
UBiS2 after structural relaxation, computed with PBE.

VASP energy (eV per cell): -26.4
Offset from the most stable computed form (meV/atom): 0

Cell and atoms, written as extended XYZ:
```
4
Lattice="3.878 0.000 0.000 1.939 3.358 0.000 1.939 1.119 8.490" Properties=species:S:1:pos:R:3 pbc="T T T"
S 1.939 1.119 1.593
S 1.939 1.119 7.184
Bi 3.878 2.239 3.785
U 3.878 2.239 0.173
```


2.
NdErSc2Hg4 after structural relaxation, computed with PBE.

VASP energy (eV per cell): -26.7
ΔE_f (meV per atom): -432.1

Cell and atoms, written as extended XYZ:
```
8
Lattice="5.149 0.000 0.000 2.575 4.460 0.000 2.575 1.487 8.489" Properties=species:S:1:pos:R:3 pbc="T T T"
Hg 5.149 2.973 1.161
Hg 2.575 1.487 5.238
Hg 5.149 2.973 7.328
Sc 2.575 1.487 2.142
Er 5.149 2.973 4.245
Hg 7.724 4.460 3.251
Sc 7.724 4.460 6.347
Nd 0.000 0.000 0.000
```


3.
InCoPb2 after structural relaxation, computed with PBE.

VASP energy (eV per cell): -30.1
ΔE_f (meV per atom): 558.1

Cell and atoms, written as extended XYZ:
```
8
Lattice="-1.176 0.076 -4.934 3.451 -3.614 -0.879 -4.902 -7.863 -1.561" Properties=species:S:1:pos:R:3 pbc="T T T"
Pb 0.707 -4.210 -1.879
In -2.470 -4.777 -4.701
Pb -2.598 -7.460 -3.408
Pb -1.452 -2.375 -3.261
Co 1.137 -1.769 -2.906
Pb -1.912 -8.756 -6.199
In 0.000 0.000 0.000
Co -0.157 -6.622 -2.673
```